VASP calculation (PBE) on a relaxed structure of SnTePbI2.

Lattice parameters (Å, degrees): 6.066 6.066 6.067 90.00 90.00 90.00
Space group P4/mmm (No. 123)
One atom of each set of equivalent atoms:
Sn (0.000, 0.000, 0.000)
Te (0.500, 0.500, 0.000)
Pb (0.500, 0.500, 0.500)
I (0.000, 0.500, 0.500)

Output
E above lowest polymorph   0.116 eV per atom

---

VASP calculation (PBE) on a relaxed structure of SnTePbI2.

Lattice parameters (Å, degrees): 6.066 6.066 6.195 90.00 90.00 90.00
Space group P4/mmm (No. 123)
One atom of each set of equivalent atoms:
Sn (0.000, 0.000, 0.000)
Te (0.000, 0.000, 0.500)
Pb (0.500, 0.500, 0.500)
I (0.000, 0.500, 0.000)

Output
E above lowest polymorph   0.000 eV per atom

---

VASP calculation (PBE) on a relaxed structure of Tl2SnPbI6.

Lattice parameters (Å, degrees): 8.124 8.922 14.481 90.00 123.89 90.00
Space group P2_1/c (No. 14)
One atom of each set of equivalent atoms:
Tl (0.204, 0.100, 0.248)
Sn (0.000, 0.000, 0.500)
Pb (0.500, 0.000, 0.000)
I (0.109, 0.189, 0.937)
I (0.259, 0.685, 0.936)
I (0.384, 0.038, 0.747)

---

VASP calculation (PBE) on a relaxed structure of SnPb2WI.

Lattice parameters (Å, degrees): 6.045 6.045 4.973 90.00 90.00 90.00
Space group P4/mmm (No. 123)
One atom of each set of equivalent atoms:
Sn (0.000, 0.000, 0.000)
Pb (0.000, 0.500, 0.500)
W (0.500, 0.500, 0.000)
I (0.500, 0.500, 0.500)

---

VASP calculation (PBE) on a relaxed structure of ZnSnPb2I.

Lattice parameters (Å, degrees): 6.057 6.057 5.936 90.00 90.00 90.00
Space group P4/mmm (No. 123)
One atom of each set of equivalent atoms:
Zn (0.000, 0.000, 0.000)
Sn (0.500, 0.500, 0.000)
Pb (0.000, 0.500, 0.500)
I (0.500, 0.500, 0.500)

---

VASP calculation (PBE) on a relaxed structure of Zr2SnPbI.

Lattice parameters (Å, degrees): 5.628 5.628 5.598 90.00 90.00 90.00
Space group P4/mmm (No. 123)
One atom of each set of equivalent atoms:
Zr (0.000, 0.500, 0.000)
Sn (0.000, 0.000, 0.500)
Pb (0.000, 0.000, 0.000)
I (0.500, 0.500, 0.500)

---

VASP calculation (PBE) on a relaxed structure of Sr2PbI.

Lattice parameters (Å, degrees): 9.894 19.466 7.665 90.00 119.43 90.00
Space group C2/c (No. 15)
One atom of each set of equivalent atoms:
Sr (0.221, 0.051, 0.241)
Sr (0.244, 0.301, 0.258)
Pb (0.000, 0.089, 0.750)
Pb (0.000, 0.175, 0.250)
I (0.000, 0.331, 0.750)
I (0.000, 0.439, 0.250)

Output
E above lowest polymorph   0.000 eV per atom

---

VASP calculation (PBE) on a relaxed structure of SrPb3I.

Lattice parameters (Å, degrees): 6.040 6.040 6.040 90.00 90.00 90.00
Space group Pm-3m (No. 221)
One atom of each set of equivalent atoms:
Sr (0.000, 0.000, 0.000)
Pb (0.000, 0.500, 0.500)
I (0.500, 0.500, 0.500)

Output
E above lowest polymorph   0.000 eV per atom

---

VASP calculation (PBE) on a relaxed structure of Sr2PbI.

Lattice parameters (Å, degrees): 4.7014 4.7014 25.7792 90.00 90.00 120.00
Space group R-3m (No. 166, hexagonal axes)
One atom of each set of equivalent atoms:
Sr (0.0000, 0.0000, 0.2423)
Pb (0.0000, 0.0000, 0.5000)
I (0.0000, 0.0000, 0.0000)

Output
E above lowest polymorph   0.009 eV per atom

---

VASP calculation (PBE) on a relaxed structure of SrPb2I6.

Lattice parameters (Å, degrees): 20.406 4.717 9.300 90.00 102.07 90.00
Space group C2/m (No. 12)
One atom of each set of equivalent atoms:
Sr (0.000, 0.000, 0.000)
Pb (0.168, 0.500, 0.336)
I (0.004, 0.500, 0.250)
I (0.166, 0.000, 0.090)
I (0.168, 0.000, 0.581)

Output
E above lowest polymorph   0.000 eV per atom

---

VASP calculation (PBE) on a relaxed structure of Sr2PbI.

Lattice parameters (Å, degrees): 4.074 4.074 9.004 90.00 90.00 90.00
Space group P4/mmm (No. 123)
One atom of each set of equivalent atoms:
Sr (0.000, 0.000, 0.225)
Pb (0.500, 0.500, 0.000)
I (0.500, 0.500, 0.500)

Output
E above lowest polymorph   0.033 eV per atom

---

VASP calculation (PBE) on a relaxed structure of Sr4Pb2I.

Lattice parameters (Å, degrees): 8.246 7.560 9.678 90.00 110.37 90.00
Space group P2_1/m (No. 11)
One atom of each set of equivalent atoms:
Sr (0.036, 0.250, 0.373)
Sr (0.259, 0.501, 0.090)
Sr (0.386, 0.750, 0.514)
Pb (0.018, 0.250, 0.764)
Pb (0.370, 0.250, 0.683)
I (0.382, 0.750, 0.861)

---

VASP calculation (PBE) on a relaxed structure of Sr3PbI.

Lattice parameters (Å, degrees): 6.439 6.439 6.439 90.00 90.00 90.00
Space group Pm-3m (No. 221)
One atom of each set of equivalent atoms:
Sr (0.000, 0.000, 0.500)
Pb (0.000, 0.000, 0.000)
I (0.500, 0.500, 0.500)

Output
E above lowest polymorph   0.262 eV per atom

---

VASP calculation (PBE) on a relaxed structure of Sr2PbI6.

Lattice parameters (Å, degrees): 20.568 4.773 9.413 90.00 101.83 90.00
Space group C2/m (No. 12)
One atom of each set of equivalent atoms:
Sr (0.166, 0.000, 0.331)
Pb (0.000, 0.500, 0.000)
I (0.001, 0.000, 0.240)
I (0.162, 0.500, 0.086)
I (0.169, 0.500, 0.576)

Output
E above lowest polymorph   0.000 eV per atom

---

VASP calculation (PBE) on a relaxed structure of SrPb2I6.

Lattice parameters (Å, degrees): 8.274 7.470 16.117 90.00 120.88 90.00
Space group P2_1/c (No. 14)
One atom of each set of equivalent atoms:
Sr (0.000, 0.000, 0.000)
Pb (0.328, 0.002, 0.828)
I (0.019, 0.747, 0.837)
I (0.338, 0.235, 0.000)
I (0.343, 0.744, 0.162)

Output
E above lowest polymorph   0.022 eV per atom

---

VASP calculation (PBE) on a relaxed structure of Sr2PbI.

Lattice parameters (Å, degrees): 8.383 8.383 8.383 90.00 90.00 90.00
Space group Fm-3m (No. 225)
One atom of each set of equivalent atoms:
Sr (0.250, 0.250, 0.250)
Pb (0.000, 0.000, 0.000)
I (0.000, 0.000, 0.500)

Output
E above lowest polymorph   0.175 eV per atom

---

VASP calculation (PBE) on a relaxed structure of Sr2Pb2I.

Lattice parameters (Å, degrees): 9.310 9.310 4.442 90.00 90.00 90.00
Space group P4/mbm (No. 127)
One atom of each set of equivalent atoms:
Sr (0.186, 0.314, 0.000)
Pb (0.110, 0.610, 0.500)
I (0.000, 0.000, 0.500)

Output
E above lowest polymorph   0.090 eV per atom

---

VASP calculation (PBE) on a relaxed structure of SrPb5I12.

Lattice parameters (Å, degrees): 8.100 14.082 15.356 90.00 90.06 90.00
Space group C2/m (No. 12)
One atom of each set of equivalent atoms:
Sr (0.000, 0.000, 0.000)
Pb (0.000, 0.167, 0.500)
Pb (0.000, 0.333, 0.000)
Pb (0.000, 0.500, 0.500)
I (0.163, 0.500, 0.121)
I (0.166, 0.000, 0.379)
I (0.166, 0.333, 0.379)
I (0.168, 0.168, 0.121)

---

VASP calculation (PBE) on a relaxed structure of SrPb3I.

Lattice parameters (Å, degrees): 6.338 6.338 6.338 90.00 90.00 90.00
Space group Pm-3m (No. 221)
One atom of each set of equivalent atoms:
Sr (0.000, 0.000, 0.000)
Pb (0.000, 0.000, 0.500)
I (0.500, 0.500, 0.500)

Output
E above lowest polymorph   0.353 eV per atom

---

VASP calculation (PBE) on a relaxed structure of Sr3PbI.

Lattice parameters (Å, degrees): 9.266 4.904 9.599 90.00 101.84 90.00
Space group P2_1/m (No. 11)
One atom of each set of equivalent atoms:
Sr (0.088, 0.250, 0.372)
Sr (0.168, 0.750, 0.026)
Sr (0.399, 0.750, 0.730)
Pb (0.156, 0.250, 0.772)
I (0.364, 0.750, 0.365)

Output
E above lowest polymorph   0.000 eV per atom

---

no.,N(E_F) (states/eV/f.u.),formation energy (no corrections) (eV/atom)
1,2.04,0.15
2,2.18,0.04
3,0.00,-0.60
4,5.31,1.58
5,5.05,0.85
6,5.82,1.00
7,0.66,-0.90
8,5.34,0.27
9,2.11,-0.89
10,0.00,-1.00
11,1.25,-0.87
12,4.08,-0.56
13,2.99,-0.48
14,0.00,-1.36
15,0.00,-0.98
16,7.21,-0.73
17,1.79,-0.60
18,0.00,-0.83
19,9.98,0.62
20,2.61,-0.74